Density functional theory data (PBE) for an optimized crystal structure of Ac2Ni3Sn4Pd.

POSCAR file:
```
Ac2Ni3Sn4Pd
1.0
4.621 0.000 0.000
0.000 4.621 0.000
0.000 0.000 10.425
Ac Ni Sn Pd
2 3 4 1
direct
0.500 0.000 0.257
0.000 0.500 0.743
0.500 0.000 0.877
0.000 0.500 0.123
0.000 0.000 0.500
0.000 0.000 0.000
0.000 0.500 0.371
0.500 0.000 0.629
0.500 0.500 0.000
0.500 0.500 0.500
```

Output
Total magnetic moment in μB/f.u.: 0.00
DOS at the Fermi energy in states/eV per atom: 0.617
Final energy in eV per cell: -52.8
ΔH_f (0 K) in meV per atom: -599
Space group: No. 115